The following is a DFT calculation (PBE-GGA) of an optimized crystal structure of GaAgGe.

a = 5.1347 Å, b = 5.2277 Å, c = 5.1333 Å
α = 80.95°, β = 121.57°, γ = 80.88°
Positions (direct):
Ga  0.8771  0.3797  0.0637
Ga  0.5406  0.3796  0.4001
Ge  0.7060  0.8795  0.2349
Ag  0.2143  0.3797  0.7266
Ge  0.0424  0.8798  0.8989
Ag  0.3704  0.8796  0.5706

Values from the calculation:
Formation energy   0.17 eV per atom
M_tot   0.00 μB per cell
Electronic total energy   -3.33 eV per atom
Calculated volume   18.5 A^3/atom

The following is a DFT calculation (PBE-GGA) of an optimized crystal structure of Ga3AgGe.

a = 4.9819 Å, b = 4.9819 Å, c = 4.9819 Å
α = 90.00°, β = 90.00°, γ = 90.00°
Positions (direct):
Ge  0.0000  0.0000  0.0000
Ga  0.0000  0.5000  0.0000
Ga  0.0000  0.0000  0.5000
Ag  0.5000  0.5000  0.5000
Ga  0.5000  0.0000  0.0000

Values from the calculation:
Formation energy   0.49 eV per atom
M_tot   0.00 μB per cell
Electronic total energy   -2.82 eV per atom
Excess energy over the best structure of this formula in the dataset   0 meV per atom
Calculated volume   24.7 A^3/atom

The following is a DFT calculation (PBE-GGA) of an optimized crystal structure of Ga3AgGe.

a = 4.9581 Å, b = 4.9581 Å, c = 4.9581 Å
α = 90.00°, β = 90.00°, γ = 90.00°
Positions (direct):
Ge  0.5000  0.5000  0.5000
Ag  0.0000  0.0000  0.0000
Ga  0.0000  0.0000  0.5000
Ga  0.5000  0.0000  0.0000
Ga  0.0000  0.5000  0.0000

Values from the calculation:
Formation energy   0.49 eV per atom
M_tot   0.00 μB per cell
Electronic total energy   -2.82 eV per atom
Excess energy over the best structure of this formula in the dataset   5 meV per atom
Calculated volume   24.4 A^3/atom

The following is a DFT calculation (PBE-GGA) of an optimized crystal structure of Ga2AgGe.

a = 4.0964 Å, b = 4.0964 Å, c = 6.1034 Å
α = 70.83°, β = 70.83°, γ = 58.51°
Positions (direct):
Ga  0.2598  0.2598  0.2356
Ag  0.4935  0.4935  0.5000
Ga  0.0767  0.0767  0.7675
Ge  0.6700  0.6700  0.9969

Values from the calculation:
Formation energy   0.13 eV per atom
M_tot   0.00 μB per cell
Electronic total energy   -3.25 eV per atom
Calculated volume   20.2 A^3/atom

The following is a DFT calculation (PBE-GGA) of an optimized crystal structure of GaAgGe.

a = 6.6872 Å, b = 4.1658 Å, c = 8.3473 Å
α = 90.00°, β = 90.00°, γ = 90.00°
Positions (direct):
Ga  0.1641  0.7500  0.5463
Ga  0.3359  0.2500  0.0463
Ga  0.6641  0.7500  0.9537
Ag  0.5447  0.7500  0.3749
Ge  0.2125  0.2500  0.3449
Ga  0.8359  0.2500  0.4537
Ag  0.0447  0.7500  0.1251
Ge  0.2875  0.7500  0.8449
Ag  0.9553  0.2500  0.8749
Ge  0.7875  0.7500  0.6551
Ag  0.4553  0.2500  0.6251
Ge  0.7125  0.2500  0.1551

Values from the calculation:
Formation energy   0.20 eV per atom
M_tot   0.00 μB per cell
Electronic total energy   -3.30 eV per atom
Calculated volume   19.4 A^3/atom

The following is a DFT calculation (PBE-GGA) of an optimized crystal structure of HoGaAgGe.

a = 4.8411 Å, b = 4.8411 Å, c = 4.8411 Å
α = 60.00°, β = 60.00°, γ = 60.00°
Positions (direct):
Ga  0.7500  0.7500  0.7500
Ag  0.5000  0.5000  0.5000
Ho  0.0000  0.0000  0.0000
Ge  0.2500  0.2500  0.2500

Values from the calculation:
Formation energy   -0.27 eV per atom
M_tot   0.00 μB per cell
Electronic total energy   -4.04 eV per atom
Calculated volume   20.1 A^3/atom

The following is a DFT calculation (PBE-GGA) of an optimized crystal structure of InGaAgGe.

a = 4.8999 Å, b = 4.8999 Å, c = 4.8999 Å
α = 60.00°, β = 60.00°, γ = 60.00°
Positions (direct):
Ag  0.7500  0.7500  0.7500
In  0.0000  0.0000  0.0000
Ge  0.2500  0.2500  0.2500
Ga  0.5000  0.5000  0.5000

Values from the calculation:
Formation energy   0.17 eV per atom
M_tot   0.00 μB per cell
Electronic total energy   -3.14 eV per atom
Calculated volume   20.8 A^3/atom

The following is a DFT calculation (PBE-GGA) of an optimized crystal structure of K2Ga3AgGe4.

a = 4.5824 Å, b = 4.5824 Å, c = 10.8564 Å
α = 90.00°, β = 90.00°, γ = 90.00°
Positions (direct):
Ge  0.5000  0.0000  0.6324
Ga  0.5000  0.0000  0.8707
Ga  0.0000  0.5000  0.1293
K  0.5000  0.0000  0.2494
Ga  0.0000  0.0000  0.5000
Ge  0.5000  0.5000  0.0000
Ge  0.0000  0.5000  0.3676
Ge  0.0000  0.0000  0.0000
K  0.0000  0.5000  0.7506
Ag  0.5000  0.5000  0.5000

Values from the calculation:
Formation energy   -0.09 eV per atom
M_tot   0.00 μB per cell
Electronic total energy   -3.35 eV per atom
Calculated volume   22.8 A^3/atom

> What is the formation energy in the fifth record?

0.20 eV per atom

> Look up the electronic total energy of the sixth one.

-4.04 eV per atom

> Look up the M_tot of the seventh one.

0.00 μB per cell